The following is a PBE with a Hubbard U calculation of crystalline YV2CrO at its relaxed geometry, from Alexandria.

## Properties
- Mass density: 3.8 g cm⁻³
- N(E_F): 4.09 states/eV/cell
- E: -29.9 eV per cell

abc: 5.5629 5.5629 3.6188
angles: 90.00 90.00 90.00
Space group P4/mmm (No. 123)
Unique sites:
Y 0.0000 0.0000 0.0000 [1 per cell]
V 0.0000 0.5000 0.5000 [2 per cell]
Cr 0.5000 0.5000 0.5000 [1 per cell]
O 0.5000 0.5000 0.0000 [1 per cell]